No. 1
An optimized crystal structure of Ce2IrS. Source: Alexandria via LeMat-Bulk, functional PBE.

Cell lengths 3.996, 5.746, 8.363 Å; angles 90.00, 90.00, 90.00 degrees
Each line ends with the local moment (μB).
Atoms (fractional coordinates):
Ce 0.500 0.500 0.626  0.58
S 0.500 0.000 0.110  -0.03
Ir 0.000 0.500 0.379  -0.06
Ir 0.500 0.000 0.621  -0.06
Ce 0.000 0.000 0.374  0.58
S 0.000 0.500 0.890  -0.03
Ce 0.000 0.000 0.857  0.74
Ce 0.500 0.500 0.143  0.74

Calculated values
* relative energy among the computed polymorphs: 0 meV per atom
* total energy: -0.554 Ry per atom
* formation energy from raw total energies: -127 kJ/mol of atoms
* symmetry: Pmmn

---

No. 2
An optimized crystal structure of Rb2MgTlCl5. Source: Alexandria via LeMat-Bulk, functional PBE.

Cell lengths 4.970, 7.399, 8.913 Å; angles 114.52, 106.19, 90.00 degrees
Atoms (fractional coordinates):
Cl 0.000 0.000 0.000
Rb 0.209 0.209 0.418
Cl 0.617 0.360 0.234
Tl 0.000 0.500 0.000
Cl 0.383 0.126 0.766
Mg 0.500 0.000 0.000
Cl 0.383 0.640 0.766
Cl 0.617 0.874 0.234
Rb 0.791 0.791 0.582

Calculated values
* total energy: -0.248 Ry per atom
* formation energy from raw total energies: -164 kJ/mol of atoms
* symmetry: Immm

---

Number 1: calculated density 8.73 g/cm3. Number 2: calculated density 3.37 g/cm3.